Entry w
Here is an optimized crystal structure of Ca3LaNb from the Alexandria database. Energies are from PBE.

a b c (Å): 5.726 5.726 5.726
angles (deg): 90.00 90.00 90.00
Positions (direct):
Nb  0.000  0.000  0.000
Ca  0.000  0.500  0.000
Ca  0.000  0.000  0.500
Ca  0.500  0.000  0.000
La  0.500  0.500  0.500

- Total magnetic moment: 0.369 μB/atom
- Density: 3.1 Mg/m³


Entry x
Here is an optimized crystal structure of Ca3LaNb from the Alexandria database. Energies are from PBE.

a b c (Å): 5.584 5.584 5.584
angles (deg): 90.00 90.00 90.00
Positions (direct):
Nb  0.500  0.500  0.500
Ca  0.000  0.500  0.000
Ca  0.000  0.000  0.500
Ca  0.500  0.000  0.000
La  0.000  0.000  0.000

- Total magnetic moment: 0.000 μB/atom
- Density: 3.4 Mg/m³


Result of the stability comparison: entry w is the most stable of them.


Entry w
Here is an optimized crystal structure of Ca2LaNb from the Alexandria database. Energies are from PBE.

a b c (Å): 4.645 4.645 12.617
angles (deg): 79.39 79.39 90.00
Positions (direct):
Nb  0.500  0.500  0.000
Nb  0.250  0.750  0.500
Ca  0.610  0.125  0.250
Ca  0.140  0.625  0.250
Ca  0.375  0.390  0.750
Ca  0.875  0.860  0.750
La  0.000  0.000  0.000
La  0.750  0.250  0.500

- Total magnetic moment: 0.725 μB/atom
- Density: 3.9 Mg/m³


Entry x
Here is an optimized crystal structure of Ca2LaNb from the Alexandria database. Energies are from PBE.

a b c (Å): 5.611 5.611 5.611
angles (deg): 60.00 60.00 60.00
Positions (direct):
Nb  0.000  0.000  0.000
Ca  0.250  0.250  0.250
Ca  0.750  0.750  0.750
La  0.500  0.500  0.500

- Total magnetic moment: 0.558 μB/atom
- Density: 4.1 Mg/m³


Result of the stability comparison: entry x is the most stable of them.


Entry w
Here is an optimized crystal structure of CaLaNd3 from the Alexandria database. Energies are from PBE.

a b c (Å): 6.209 6.209 12.584
angles (deg): 75.72 75.72 60.00
Positions (direct):
Ca  0.334  0.334  0.998
Ca  0.666  0.666  0.002
La  0.166  0.166  0.501
La  0.834  0.834  0.499
Nd  0.087  0.417  0.742
Nd  0.754  0.087  0.742
Nd  0.583  0.246  0.258
Nd  0.246  0.913  0.258
Nd  0.913  0.583  0.258
Nd  0.417  0.754  0.742

- Total magnetic moment: 0.000 μB/atom
- Density: 5.0 Mg/m³


Entry x
Here is an optimized crystal structure of CaLaNd3 from the Alexandria database. Energies are from PBE.

a b c (Å): 6.419 6.419 11.534
angles (deg): 89.99 89.99 128.71
Positions (direct):
Ca  0.657  0.343  0.500
Ca  0.343  0.657  0.500
La  0.864  0.136  0.000
La  0.136  0.864  0.000
Nd  0.653  0.347  0.196
Nd  0.000  0.000  0.682
Nd  0.653  0.347  0.804
Nd  0.347  0.653  0.196
Nd  0.000  0.000  0.318
Nd  0.347  0.653  0.804

- Total magnetic moment: 0.000 μB/atom
- Density: 5.5 Mg/m³


Result of the stability comparison: entry x is the most stable of them.


Entry w
Here is an optimized crystal structure of Ca2LaNd4 from the Alexandria database. Energies are from PBE.

a b c (Å): 5.817 5.817 9.917
angles (deg): 107.06 107.06 90.00
Positions (direct):
Ca  0.184  0.184  0.368
Ca  0.816  0.816  0.632
La  0.000  0.000  0.000
Nd  0.395  0.395  0.789
Nd  0.605  0.605  0.211
Nd  0.000  0.500  0.000
Nd  0.500  0.000  0.000

- Total magnetic moment: 0.004 μB/atom
- Density: 4.3 Mg/m³


Entry x
Here is an optimized crystal structure of Ca2LaNd4 from the Alexandria database. Energies are from PBE.

a b c (Å): 3.621 5.559 13.123
angles (deg): 102.23 90.00 90.00
Positions (direct):
Ca  0.500  0.211  0.422
Ca  0.500  0.789  0.578
Nd  0.500  0.071  0.141
Nd  0.000  0.359  0.719
Nd  0.500  0.929  0.859
Nd  0.000  0.641  0.281
La  0.000  0.500  0.000

- Total magnetic moment: 0.000 μB/atom
- Density: 5.1 Mg/m³


Result of the stability comparison: entry x is the most stable of them.